! Ti2InOs (PBE, relaxed); values from VASP
&SYSTEM
  ibrav = 0, nat = 4, ntyp = 3
/
ATOMIC_SPECIES
Ti 47.87 Ti.upf
Os 190.23 Os.upf
In 114.82 In.upf
CELL_PARAMETERS angstrom
-1.5754 -2.9181 0.1220
3.6866 -2.0520 -1.4764
1.3737 -0.5654 4.2160
ATOMIC_POSITIONS crystal
Ti 0.0000 0.5000 0.0000
Ti 0.0000 0.0000 0.5000
Os 0.5000 0.0000 0.0000
In 0.5000 0.5000 0.5000
! Total magnetic moment (μB per formula unit): 0.0
! DFT total energy (eV per atom): -7.6510

=====

! Ti3InOs2 (PBE, relaxed); values from VASP
&SYSTEM
  ibrav = 0, nat = 6, ntyp = 3
/
ATOMIC_SPECIES
Ti 47.87 Ti.upf
Os 190.23 Os.upf
In 114.82 In.upf
CELL_PARAMETERS angstrom
-0.9795 2.9068 -0.1256
-2.7584 -0.9699 -0.9354
-3.1423 -0.6301 9.9194
ATOMIC_POSITIONS crystal
Ti 0.0000 0.0000 0.7031
Ti 0.0000 0.0000 0.2969
Ti 0.0000 0.0000 0.0000
Os 0.5000 0.5000 0.8494
Os 0.5000 0.5000 0.1506
In 0.5000 0.5000 0.5000
! Total magnetic moment (μB per formula unit): 0.0
! DFT total energy (eV per atom): -8.6324

=====

! TiV2InOs (PBE, relaxed); values from VASP
&SYSTEM
  ibrav = 0, nat = 5, ntyp = 4
/
ATOMIC_SPECIES
V 50.94 V.upf
Ti 47.87 Ti.upf
In 114.82 In.upf
Os 190.23 Os.upf
CELL_PARAMETERS angstrom
4.6440 0.0000 0.0000
0.0000 5.0697 0.0000
0.0000 0.0000 4.6440
ATOMIC_POSITIONS crystal
V 0.5000 0.0000 0.0000
V 0.0000 0.0000 0.5000
Ti 0.5000 0.5000 0.5000
In 0.0000 0.5000 0.0000
Os 0.0000 0.0000 0.0000
! Total magnetic moment (μB per formula unit): 5.3
! DFT total energy (eV per atom): -6.9870

=====

! Tl2InOs (PBE, relaxed); values from VASP
&SYSTEM
  ibrav = 0, nat = 4, ntyp = 3
/
ATOMIC_SPECIES
Os 190.23 Os.upf
In 114.82 In.upf
Tl 204.38 Tl.upf
CELL_PARAMETERS angstrom
-5.3112 2.3316 -4.5821
-5.1480 -0.6771 -5.2613
-4.1323 -0.6895 2.0616
ATOMIC_POSITIONS crystal
Os 0.2434 0.2434 0.2567
In 0.5720 0.5720 0.4280
Tl 0.7497 0.7497 0.7503
Tl 0.9349 0.9349 0.0650
! Total magnetic moment (μB per formula unit): 0.0
! DFT total energy (eV per atom): -4.1501
! Polymorph energy (0 for the lowest one) (meV/atom): 81

=====

! Tl2InOs (PBE, relaxed); values from VASP
&SYSTEM
  ibrav = 0, nat = 4, ntyp = 3
/
ATOMIC_SPECIES
In 114.82 In.upf
Tl 204.38 Tl.upf
Os 190.23 Os.upf
CELL_PARAMETERS angstrom
3.1077 0.0456 0.0000
-1.2639 2.8394 0.0000
0.0000 0.0000 10.6540
ATOMIC_POSITIONS crystal
In 0.0000 0.0000 0.5410
Tl 0.0000 0.0000 0.9567
Tl 0.5000 0.5000 0.2630
Os 0.5000 0.5000 0.7394
! Total magnetic moment (μB per formula unit): 0.0
! DFT total energy (eV per atom): -4.0454
! Polymorph energy (0 for the lowest one) (meV/atom): 185

=====

! Tl2InOs (PBE, relaxed); values from VASP
&SYSTEM
  ibrav = 0, nat = 4, ntyp = 3
/
ATOMIC_SPECIES
Tl 204.38 Tl.upf
In 114.82 In.upf
Os 190.23 Os.upf
CELL_PARAMETERS angstrom
0.0000 3.5439 3.5439
3.5439 0.0000 3.5439
3.5439 3.5439 0.0000
ATOMIC_POSITIONS crystal
Tl 0.7500 0.7500 0.7500
Tl 0.2500 0.2500 0.2500
In 0.0000 0.0000 0.0000
Os 0.5000 0.5000 0.5000
! Total magnetic moment (μB per formula unit): 0.0
! DFT total energy (eV per atom): -3.7307
! Polymorph energy (0 for the lowest one) (meV/atom): 500

=====

! Tl2InOs (PBE, relaxed); values from VASP
&SYSTEM
  ibrav = 0, nat = 4, ntyp = 3
/
ATOMIC_SPECIES
In 114.82 In.upf
Os 190.23 Os.upf
Tl 204.38 Tl.upf
CELL_PARAMETERS angstrom
-0.5901 4.3316 -2.4741
-3.9664 0.6515 -3.0126
-3.6655 3.1692 1.3237
ATOMIC_POSITIONS crystal
In 0.5000 0.5000 0.5000
Os 0.7500 0.7500 0.7500
Tl 0.2500 0.2500 0.2500
Tl 0.0000 0.0000 0.0000
! Total magnetic moment (μB per formula unit): 0.0
! DFT total energy (eV per atom): -3.7991
! Polymorph energy (0 for the lowest one) (meV/atom): 432

=====

! Tl2InOs (PBE, relaxed); values from VASP
&SYSTEM
  ibrav = 0, nat = 4, ntyp = 3
/
ATOMIC_SPECIES
Os 190.23 Os.upf
Tl 204.38 Tl.upf
In 114.82 In.upf
CELL_PARAMETERS angstrom
3.2331 0.0000 0.0000
0.0000 3.2318 0.0000
0.0000 0.0000 9.0156
ATOMIC_POSITIONS crystal
Os 0.5000 0.5000 0.7354
Tl 0.0000 0.0000 0.9446
Tl 0.5000 0.5000 0.2615
In 0.0000 0.0000 0.5584
! Total magnetic moment (μB per formula unit): 0.0
! DFT total energy (eV per atom): -4.1576
! Polymorph energy (0 for the lowest one) (meV/atom): 73

=====

! TlIn4Os (PBE, relaxed); values from VASP
&SYSTEM
  ibrav = 0, nat = 6, ntyp = 3
/
ATOMIC_SPECIES
In 114.82 In.upf
Tl 204.38 Tl.upf
Os 190.23 Os.upf
CELL_PARAMETERS angstrom
0.0000 4.1686 4.1686
4.1686 0.0000 4.1686
4.1686 4.1686 0.0000
ATOMIC_POSITIONS crystal
In 0.3757 0.3757 0.8729
In 0.3757 0.3757 0.3757
In 0.8729 0.3757 0.3757
In 0.3757 0.8729 0.3757
Tl 0.0000 0.0000 0.0000
Os 0.7500 0.7500 0.7500
! Total magnetic moment (μB per formula unit): 1.0
! DFT total energy (eV per atom): -3.2787

=====

! Tl2InOs (PBE, relaxed); values from VASP
&SYSTEM
  ibrav = 0, nat = 4, ntyp = 3
/
ATOMIC_SPECIES
In 114.82 In.upf
Tl 204.38 Tl.upf
Os 190.23 Os.upf
CELL_PARAMETERS angstrom
-0.3838 -3.1292 0.5111
2.7112 -0.5908 -1.5815
4.7042 0.6976 7.8038
ATOMIC_POSITIONS crystal
In 0.5000 0.5000 0.2500
Tl 0.0000 0.0000 0.5476
Tl 0.0000 0.0000 0.9524
Os 0.5000 0.5000 0.7500
! Total magnetic moment (μB per formula unit): 0.0
! DFT total energy (eV per atom): -3.9722
! Polymorph energy (0 for the lowest one) (meV/atom): 258

=====

! Tl2InOs (PBE, relaxed); values from VASP
&SYSTEM
  ibrav = 0, nat = 4, ntyp = 3
/
ATOMIC_SPECIES
Tl 204.38 Tl.upf
In 114.82 In.upf
Os 190.23 Os.upf
CELL_PARAMETERS angstrom
5.2720 0.0000 0.0000
0.0000 3.3489 -0.2411
0.0000 0.3855 5.0151
ATOMIC_POSITIONS crystal
Tl 0.0000 0.5233 0.5072
Tl 0.0000 0.9767 0.9928
In 0.5000 0.2500 0.2500
Os 0.5000 0.7500 0.7500
! Total magnetic moment (μB per formula unit): 0.0
! DFT total energy (eV per atom): -3.8652
! Polymorph energy (0 for the lowest one) (meV/atom): 365

=====

! Tl2InOs (PBE, relaxed); values from VASP
&SYSTEM
  ibrav = 0, nat = 4, ntyp = 3
/
ATOMIC_SPECIES
In 114.82 In.upf
Tl 204.38 Tl.upf
Os 190.23 Os.upf
CELL_PARAMETERS angstrom
-2.0907 -1.6610 1.6020
2.2753 -1.6048 -1.3943
6.0830 0.9086 8.8805
ATOMIC_POSITIONS crystal
In 0.5000 0.5000 0.2500
Tl 0.0000 0.0000 0.9659
Tl 0.0000 0.0000 0.5341
Os 0.5000 0.5000 0.7500
! Total magnetic moment (μB per formula unit): 0.4
! DFT total energy (eV per atom): -3.9391
! Polymorph energy (0 for the lowest one) (meV/atom): 292